[1]
Below is a geometry-optimized AlW3 structure, with properties calculated at the PBE-GGA level.

Values from the calculation:
* E_tot: -10.506 eV/atom
* theoretical density: 15.0 g/cm3

a b c (Å): 5.640 5.640 4.658
angles (deg): 90.00 90.00 120.00
Atoms (fractional coordinates):
Al (0.667, 0.333, 0.250)
Al (0.333, 0.667, 0.750)
W (0.160, 0.320, 0.250)
W (0.160, 0.840, 0.250)
W (0.680, 0.840, 0.250)
W (0.320, 0.160, 0.750)
W (0.840, 0.160, 0.750)
W (0.840, 0.680, 0.750)

[2]
Below is a geometry-optimized Al25W4 structure, with properties calculated at the PBE-GGA level.

Values from the calculation:
* E_tot: -4.986 eV/atom
* theoretical density: 5.2 g/cm3

a b c (Å): 8.372 8.372 8.372
angles (deg): 109.47 109.47 109.47
Atoms (fractional coordinates):
Al (0.000, 0.000, 0.000)
Al (0.375, 0.189, 0.000)
Al (0.189, 0.375, 0.000)
Al (0.683, 0.411, 0.000)
Al (0.411, 0.683, 0.000)
Al (0.811, 0.811, 0.186)
Al (0.375, 0.000, 0.189)
Al (0.000, 0.375, 0.189)
Al (0.589, 0.589, 0.272)
Al (0.317, 0.728, 0.317)
Al (0.728, 0.317, 0.317)
Al (0.189, 0.000, 0.375)
Al (0.000, 0.189, 0.375)
Al (0.683, 0.000, 0.411)
Al (0.000, 0.683, 0.411)
Al (0.589, 0.272, 0.589)
Al (0.272, 0.589, 0.589)
Al (0.814, 0.625, 0.625)
Al (0.625, 0.814, 0.625)
Al (0.411, 0.000, 0.683)
Al (0.000, 0.411, 0.683)
Al (0.317, 0.317, 0.728)
Al (0.811, 0.186, 0.811)
Al (0.186, 0.811, 0.811)
Al (0.625, 0.625, 0.814)
W (0.640, 0.000, 0.000)
W (0.000, 0.640, 0.000)
W (0.360, 0.360, 0.360)
W (0.000, 0.000, 0.640)

[3]
Below is a geometry-optimized Al12W structure, with properties calculated at the PBE-GGA level.

Values from the calculation:
* E_tot: -4.532 eV/atom
* theoretical density: 3.9 g/cm3

a b c (Å): 6.572 6.572 6.572
angles (deg): 109.47 109.47 109.47
Atoms (fractional coordinates):
Al (0.814, 0.309, 0.123)
Al (0.309, 0.495, 0.186)
Al (0.691, 0.877, 0.186)
Al (0.495, 0.186, 0.309)
Al (0.123, 0.814, 0.309)
Al (0.186, 0.309, 0.495)
Al (0.814, 0.691, 0.505)
Al (0.877, 0.186, 0.691)
Al (0.505, 0.814, 0.691)
Al (0.309, 0.123, 0.814)
Al (0.691, 0.505, 0.814)
Al (0.186, 0.691, 0.877)
W (0.000, 0.000, 0.000)

[4]
Below is a geometry-optimized AlW2 structure, with properties calculated at the PBE-GGA level.

Values from the calculation:
* E_tot: -9.719 eV/atom
* theoretical density: 13.9 g/cm3

a b c (Å): 5.145 5.145 8.280
angles (deg): 90.00 90.00 120.38
Atoms (fractional coordinates):
Al (0.000, 0.000, 0.000)
Al (0.833, 0.167, 0.250)
Al (0.000, 0.000, 0.500)
Al (0.167, 0.833, 0.750)
W (0.333, 0.667, 0.061)
W (0.341, 0.169, 0.250)
W (0.831, 0.659, 0.250)
W (0.333, 0.667, 0.439)
W (0.667, 0.333, 0.561)
W (0.169, 0.341, 0.750)
W (0.659, 0.831, 0.750)
W (0.667, 0.333, 0.939)